(1)
DFT (GGA-PBE) results for CeZr3O8 after structural relaxation.

ΔE_f (raw)	-3.34	eV/atom
E	-9.27	eV/atom
space-group type	No. 1
offset from the most stable computed form	0.0000	eV per atom

a b c (Å): 5.329 5.343 5.493
angles (deg): 89.68 81.16 89.54
Fractional positions:
1 O 0.448 0.745 0.035
2 O 0.050 0.191 0.143
3 O 0.529 0.242 0.988
4 O 0.936 0.841 0.858
5 O 0.090 0.321 0.638
6 O 0.447 0.763 0.522
7 Ce 0.731 0.531 0.709
8 O 0.550 0.238 0.470
9 Zr 0.275 0.034 0.796
10 Zr 0.276 0.453 0.284
11 O 0.945 0.684 0.344
12 Zr 0.722 0.958 0.212


(2)
DFT (GGA-PBE) results for CeZr2O after structural relaxation.

ΔE_f (raw)	-0.98	eV/atom
E	-7.97	eV/atom
space-group type	No. 166

a b c (Å): 3.074 3.074 9.465
angles (deg): 80.65 80.65 60.00
Fractional positions:
1 Zr 0.888 0.888 0.336
2 Zr 0.112 0.112 0.664
3 Ce 0.000 0.000 0.000
4 O 0.500 0.500 0.500


(3)
DFT (GGA-PBE) results for CeZr3O8 after structural relaxation.

ΔE_f (raw)	-3.32	eV/atom
E	-9.26	eV/atom
space-group type	No. 38
offset from the most stable computed form	0.0166	eV per atom

a b c (Å): 6.497 6.497 3.707
angles (deg): 90.00 90.00 110.78
Fractional positions:
1 O 0.653 0.347 0.000
2 O 0.150 0.850 0.000
3 O 0.608 0.911 0.500
4 O 0.344 0.134 0.500
5 Zr 0.005 0.505 0.000
6 Ce 0.502 0.498 0.500
7 Zr 0.495 0.995 0.000
8 Zr 0.997 0.003 0.500
9 O 0.387 0.613 0.000
10 O 0.866 0.656 0.500
11 O 0.904 0.096 0.000
12 O 0.089 0.392 0.500


(4)
DFT (GGA-PBE) results for CeZr3O8 after structural relaxation.

ΔE_f (raw)	-3.33	eV/atom
E	-9.27	eV/atom
space-group type	No. 15
offset from the most stable computed form	0.0028	eV per atom

a b c (Å): 7.429 7.429 5.328
angles (deg): 88.49 88.49 90.29
Fractional positions:
1 O 0.135 0.096 0.428
2 O 0.131 0.619 0.956
3 O 0.104 0.643 0.472
4 O 0.377 0.357 0.026
5 O 0.357 0.377 0.526
6 Ce 0.630 0.370 0.750
7 O 0.896 0.357 0.528
8 Zr 0.884 0.116 0.250
9 O 0.619 0.131 0.456
10 Zr 0.116 0.884 0.750
11 Ce 0.370 0.630 0.250
12 O 0.904 0.865 0.072
13 Zr 0.384 0.122 0.252
14 O 0.623 0.643 0.974
15 O 0.096 0.135 0.928
16 O 0.643 0.623 0.474
17 Zr 0.878 0.616 0.248
18 Zr 0.616 0.878 0.748
19 O 0.865 0.904 0.572
20 O 0.381 0.869 0.544
21 O 0.357 0.896 0.028
22 O 0.869 0.381 0.044
23 Zr 0.122 0.384 0.752
24 O 0.643 0.104 0.972


(5)
DFT (GGA-PBE) results for CeZrO after structural relaxation.

ΔE_f (raw)	-1.60	eV/atom
E	-8.08	eV/atom
space-group type	No. 156
offset from the most stable computed form	0.0000	eV per atom

a b c (Å): 3.418 3.418 5.615
angles (deg): 90.00 90.00 120.00
Fractional positions:
1 Zr 0.667 0.333 0.436
2 O 0.333 0.667 0.646
3 Ce 0.000 0.000 0.918


(6)
DFT (GGA-PBE) results for CeZr2O6 after structural relaxation.

ΔE_f (raw)	-3.32	eV/atom
E	-9.18	eV/atom
space-group type	No. 164
offset from the most stable computed form	0.0000	eV per atom

a b c (Å): 3.733 3.733 9.025
angles (deg): 90.00 90.00 120.00
Fractional positions:
1 Zr 0.667 0.333 0.341
2 O 0.000 0.000 0.265
3 O 0.333 0.667 0.419
4 Ce 0.000 0.000 0.000
5 O 0.333 0.667 0.906
6 O 0.667 0.333 0.581
7 O 0.667 0.333 0.094
8 O 0.000 0.000 0.735
9 Zr 0.333 0.667 0.659


(7)
DFT (GGA-PBE) results for CeOs4 after structural relaxation.

E	-7.22	eV/atom
space-group type	No. 221
formation enthalpy at 0 K	14.7	eV per formula unit

a b c (Å): 4.708 4.708 4.708
angles (deg): 90.00 90.00 90.00
Last column: magnetic moment on the atom in μB.
Fractional positions:
1 Os 0.000 0.500 0.500  0.63
2 Os 0.500 0.500 0.000  0.63
3 Ce 0.500 0.500 0.500  -0.02
4 Os 0.500 0.000 0.500  0.63
5 Os 0.000 0.000 0.000  1.37


(8)
DFT (GGA-PBE) results for Ce4Os after structural relaxation.

E	-6.61	eV/atom
space-group type	No. 227
offset from the most stable computed form	0.4054	eV per atom
formation enthalpy at 0 K	1.9	eV per formula unit

a b c (Å): 7.506 7.506 7.506
angles (deg): 60.00 60.00 60.00
Last column: magnetic moment on the atom in μB.
Fractional positions:
1 Os 0.000 0.000 0.000  -0.05
2 Ce 0.859 0.423 0.859  0.61
3 Ce 0.391 0.827 0.391  0.61
4 Ce 0.859 0.859 0.423  0.61
5 Ce 0.391 0.391 0.827  0.61
6 Os 0.250 0.250 0.250  -0.05
7 Ce 0.827 0.391 0.391  0.61
8 Ce 0.391 0.391 0.391  0.61
9 Ce 0.423 0.859 0.859  0.61
10 Ce 0.859 0.859 0.859  0.61


(9)
DFT (GGA-PBE) results for Ce4Os after structural relaxation.

E	-6.84	eV/atom
space-group type	No. 221
offset from the most stable computed form	0.1758	eV per atom
formation enthalpy at 0 K	0.8	eV per formula unit

a b c (Å): 5.455 5.455 5.455
angles (deg): 90.00 90.00 90.00
Last column: magnetic moment on the atom in μB.
Fractional positions:
1 Ce 0.500 0.000 0.500  0.56
2 Ce 0.000 0.500 0.500  0.56
3 Ce 0.000 0.000 0.000  1.17
4 Ce 0.500 0.500 0.000  0.56
5 Os 0.500 0.500 0.500  -0.06


(10)
DFT (GGA-PBE) results for Ce3Os2 after structural relaxation.

E	-8.16	eV/atom
space-group type	No. 139
offset from the most stable computed form	0.0832	eV per atom
formation enthalpy at 0 K	-0.5	eV per formula unit

a b c (Å): 3.373 3.373 9.560
angles (deg): 100.16 100.16 90.00
Last column: magnetic moment on the atom in μB.
Fractional positions:
1 Ce 0.000 0.000 0.000  0.15
2 Ce 0.197 0.197 0.393  0.02
3 Os 0.393 0.393 0.785  -0.01
4 Ce 0.803 0.803 0.607  0.02
5 Os 0.607 0.607 0.215  -0.01


(11)
DFT (GGA-PBE) results for Ce4Os after structural relaxation.

E	-7.02	eV/atom
space-group type	No. 43
offset from the most stable computed form	0.0000	eV per atom
formation enthalpy at 0 K	-0.1	eV per formula unit

a b c (Å): 7.023 7.023 7.016
angles (deg): 104.84 104.84 119.23
Fractional positions:
1 Ce 0.178 0.908 0.667
2 Ce 0.752 0.424 0.274
3 Ce 0.674 0.502 0.774
4 Os 0.330 0.330 0.000
5 Ce 0.761 0.992 0.833
6 Os 0.580 0.080 0.500
7 Ce 0.158 0.928 0.167
8 Ce 0.728 0.900 0.226
9 Ce 0.242 0.511 0.333
10 Ce 0.150 0.478 0.726


(12)
DFT (GGA-PBE) results for Ce5Os after structural relaxation.

E	-6.77	eV/atom
space-group type	No. 65
formation enthalpy at 0 K	0.3	eV per formula unit

a b c (Å): 4.171 4.191 8.187
angles (deg): 104.83 90.00 90.00
Fractional positions:
1 Ce 0.500 0.840 0.679
2 Ce 0.500 0.500 0.000
3 Ce 0.500 0.160 0.321
4 Os 0.000 0.000 0.000
5 Ce 0.000 0.671 0.342
6 Ce 0.000 0.329 0.658